[1]
ScTl2Se2: optimized geometry, PBE-GGA.

## Properties
E_form (uncorrected): -0.932 eV per atom
VASP energy: -22.693 eV/cell
offset from the most stable computed form: 0.00 kJ per mole of atoms

Lattice parameters (Å, degrees): 3.867 3.875 11.119 83.12 79.99 60.07
Atoms (fractional coordinates):
1 Se 0.729 0.183 0.359
2 Se 0.271 0.817 0.641
3 Tl 0.467 0.204 0.862
4 Tl 0.533 0.796 0.138
5 Sc 0.000 0.500 0.500


[2]
SrCo2Cu: optimized geometry, PBE-GGA.

## Properties
VASP energy: -19.359 eV/cell
offset from the most stable computed form: 5.16 kJ per mole of atoms
energy of formation: 0.63 eV/f.u.

Lattice parameters (Å, degrees): 4.136 4.136 5.770 69.18 69.18 59.98
Atoms (fractional coordinates):
1 Sr 0.750 0.750 0.750
2 Co 0.932 0.932 0.205
3 Co 0.568 0.568 0.295
4 Cu 0.250 0.250 0.250


[3]
Nb2BiHBr: optimized geometry, PBE-GGA.

## Properties
VASP energy: -25.766 eV/cell

Lattice parameters (Å, degrees): 4.519 4.306 4.519 90.00 90.00 90.00
Atoms (fractional coordinates):
1 H 0.000 0.000 0.000
2 Bi 0.500 0.500 0.500
3 Br 0.000 0.500 0.000
4 Nb 0.500 0.000 0.000
5 Nb 0.000 0.000 0.500


[4]
Mn2PtPb: optimized geometry, PBE-GGA.

## Properties
VASP energy: -27.364 eV/cell
energy of formation: 0.72 eV/f.u.

Lattice parameters (Å, degrees): 4.576 4.576 5.538 78.49 78.49 41.52
Atoms (fractional coordinates):
1 Pt 0.250 0.250 0.250
2 Pb 0.750 0.750 0.750
3 Mn 0.988 0.988 0.044
4 Mn 0.512 0.512 0.456


[5]
LiNd2Rh: optimized geometry, PBE-GGA.

## Properties
VASP energy: -19.959 eV/cell
energy of formation: -1.16 eV/f.u.

Lattice parameters (Å, degrees): 4.106 4.106 8.662 76.29 76.29 60.00
Atoms (fractional coordinates):
1 Li 0.502 0.502 0.494
2 Rh 0.666 0.666 0.003
3 Nd 0.271 0.271 0.186
4 Nd 0.061 0.061 0.816


[6]
LaSm2ScSb4: optimized geometry, PBE-GGA.

## Properties
E_form (uncorrected): -1.104 eV per atom
VASP energy: -46.016 eV/cell

Lattice parameters (Å, degrees): 4.450 7.679 7.700 109.46 90.00 90.00
Atoms (fractional coordinates):
1 Sb 0.500 0.766 0.761
2 Sb 0.000 0.238 0.751
3 Sb 0.500 0.234 0.239
4 Sb 0.000 0.762 0.249
5 Sm 0.000 0.500 0.500
6 Sm 0.500 0.000 0.500
7 Sc 0.000 0.000 0.000
8 La 0.500 0.500 0.000